Density functional theory data (PBE) for a relaxed Be2Tc3F3 crystal.

Summary:
The value obtained for the calculated total energy is -6.431 eV per atom.

Cell and atoms, written as extended XYZ:
```
8
Lattice="2.272 1.312 5.938 -2.272 1.312 5.938 0.000 -2.623 5.938" Properties=species:S:1:pos:R:3 pbc="T T T"
Be 0.000 0.000 3.739
Be 0.000 0.000 14.075
Tc 0.000 0.000 0.000
Tc 0.000 0.000 6.212
Tc 0.000 0.000 11.602
F -2.272 0.000 8.907
F -1.136 0.656 2.969
F 1.136 0.656 2.969
```